A relaxed structure of DyNpIrPt, computed with PBE.

Lattice parameters (Å, degrees): 4.8911 4.8911 4.8911 60.00 60.00 60.00
Last column: nearest neighbours and their distance in Å.
Atoms (fractional coordinates):
Np (0.2500, 0.2500, 0.2500)  4 Ir 3.00, 4 Pt 3.00
Ir (0.0000, 0.0000, 0.0000)  4 Dy 3.00, 4 Np 3.00
Pt (0.5000, 0.5000, 0.5000)  4 Np 3.00, 4 Dy 3.00
Dy (0.7500, 0.7500, 0.7500)  4 Ir 3.00, 4 Pt 3.00

Values from the calculation:
The value obtained for the formation energy is -0.63 eV per atom. As for the calculated density: 15.8 g/cm3. The calculation puts the magnetic moment at 3.9 μB per formula unit. Its density of states at the Fermi level is 8.37 states/eV/f.u.